# PBE ZrScAu2, relaxed
# Offset from the most stable computed form = 0.364 eV per atom
data_ZrScAu2
_chemical_formula_sum 'Zr3 Sc3 Au6'
_symmetry_space_group_name_H-M 'R 3 m'
_symmetry_Int_Tables_number 160
_symmetry_space_group_name_Hall 'R 3 -2"'
_cell_length_a 3.2905
_cell_length_b 3.2905
_cell_length_c 27.2612
_cell_angle_alpha 90.00
_cell_angle_beta 90.00
_cell_angle_gamma 120.00
loop_
_atom_site_label
_atom_site_type_symbol
_atom_site_fract_x
_atom_site_fract_y
_atom_site_fract_z
Zr1 Zr 0.0000 0.0000 0.0000
Sc1 Sc 0.0000 0.0000 0.2401
Au1 Au 0.0000 0.0000 0.4966
Au2 Au 0.0000 0.0000 0.7468